Below is crystalline BTeF2 at its relaxed geometry, with properties calculated at the GGA-PBE level.

```
data_BTeF2
_cell_length_a 10.1685
_cell_length_b 10.1685
_cell_length_c 10.1685
_cell_angle_alpha 17.72
_cell_angle_beta 17.72
_cell_angle_gamma 17.72
_space_group_name_H-M_alt 'P 1'
_space_group_IT_number 1
_space_group_name_Hall 'P 1'
loop_
_atom_site_label
_atom_site_type_symbol
_atom_site_fract_x
_atom_site_fract_y
_atom_site_fract_z
B1 B 0.0000 0.0000 0.0000
Te1 Te 0.5000 0.5000 0.5000
F1 F 0.0438 0.0438 0.0438
F2 F 0.9562 0.9562 0.9562
```

- magnetic moment (μB per cell) = 0.0
- excess energy over the best structure of this formula in the dataset (kJ per mole of atoms) = 0.00
- raw formation energy (eV/f.u.) = -3.477
- SG = R-3m (166)
- crystal system = trigonal

=====

Below is crystalline GaHI3 at its relaxed geometry, with properties calculated at the GGA-PBE level.

```
data_GaHI3
_cell_length_a 5.6753
_cell_length_b 5.6753
_cell_length_c 5.6753
_cell_angle_alpha 90.00
_cell_angle_beta 90.00
_cell_angle_gamma 90.00
_space_group_name_H-M_alt 'P 1'
_space_group_IT_number 1
_space_group_name_Hall 'P 1'
loop_
_atom_site_label
_atom_site_type_symbol
_atom_site_fract_x
_atom_site_fract_y
_atom_site_fract_z
Ga1 Ga 0.0000 0.0000 0.0000
H1 H 0.5000 0.5000 0.5000
I1 I 0.0000 0.0000 0.5000
I2 I 0.0000 0.5000 0.0000
I3 I 0.5000 0.0000 0.0000
```

- magnetic moment (μB per cell) = 0.9
- excess energy over the best structure of this formula in the dataset (kJ per mole of atoms) = 44.22
- SG = Pm-3m (221)
- crystal system = cubic

=====

Below is crystalline LaTb2Cd at its relaxed geometry, with properties calculated at the GGA-PBE level.

```
data_LaTb2Cd
_cell_length_a 6.7200
_cell_length_b 6.7200
_cell_length_c 5.6287
_cell_angle_alpha 114.68
_cell_angle_beta 114.68
_cell_angle_gamma 33.03
_space_group_name_H-M_alt 'P 1'
_space_group_IT_number 1
_space_group_name_Hall 'P 1'
loop_
_atom_site_label
_atom_site_type_symbol
_atom_site_fract_x
_atom_site_fract_y
_atom_site_fract_z
La1 La 0.0000 0.0000 0.0000
Tb1 Tb 0.2228 0.2228 0.7229
Tb2 Tb 0.7772 0.7772 0.2771
Cd1 Cd 0.5000 0.5000 0.5000
```

- magnetic moment (μB per cell) = 0.0
- excess energy over the best structure of this formula in the dataset (kJ per mole of atoms) = 0.00
- E_form (kJ/mol of formula units) = -57.6
- SG = C2/m (12)
- crystal system = monoclinic

=====

Below is crystalline MgBr at its relaxed geometry, with properties calculated at the GGA-PBE level.

```
data_MgBr
_cell_length_a 3.9133
_cell_length_b 13.0867
_cell_length_c 6.7340
_cell_angle_alpha 90.00
_cell_angle_beta 90.00
_cell_angle_gamma 90.00
_space_group_name_H-M_alt 'P 1'
_space_group_IT_number 1
_space_group_name_Hall 'P 1'
loop_
_atom_site_label
_atom_site_type_symbol
_atom_site_fract_x
_atom_site_fract_y
_atom_site_fract_z
Mg1 Mg 0.2500 0.1393 0.0078
Mg2 Mg 0.2500 0.3607 0.0078
Mg3 Mg 0.2500 0.7500 0.6995
Mg4 Mg 0.7500 0.2500 0.3005
Mg5 Mg 0.7500 0.6393 0.9922
Mg6 Mg 0.7500 0.8607 0.9922
Br1 Br 0.2500 0.2500 0.5776
Br2 Br 0.2500 0.5243 0.7689
Br3 Br 0.2500 0.9757 0.7689
Br4 Br 0.7500 0.0243 0.2311
Br5 Br 0.7500 0.4757 0.2311
Br6 Br 0.7500 0.7500 0.4224
```

- magnetic moment (μB per cell) = 0.0
- raw formation energy (eV/f.u.) = -1.638
- SG = Pmmn (59)
- crystal system = orthorhombic

=====

Below is crystalline Ga3Sn12Hg5 at its relaxed geometry, with properties calculated at the GGA-PBE level.

```
data_Ga3Sn12Hg5
_cell_length_a 14.8095
_cell_length_b 14.8095
_cell_length_c 14.8095
_cell_angle_alpha 109.47
_cell_angle_beta 109.47
_cell_angle_gamma 109.47
_space_group_name_H-M_alt 'P 1'
_space_group_IT_number 1
_space_group_name_Hall 'P 1'
loop_
_atom_site_label
_atom_site_type_symbol
_atom_site_fract_x
_atom_site_fract_y
_atom_site_fract_z
Ga1 Ga 0.1250 0.2500 0.3750
Ga2 Ga 0.1250 0.3750 0.7500
Ga3 Ga 0.2500 0.3750 0.1250
Ga4 Ga 0.2500 0.8750 0.6250
Ga5 Ga 0.3750 0.1250 0.2500
Ga6 Ga 0.3750 0.7500 0.1250
Ga7 Ga 0.6250 0.2500 0.8750
Ga8 Ga 0.6250 0.8750 0.7500
Ga9 Ga 0.7500 0.1250 0.3750
Ga10 Ga 0.7500 0.6250 0.8750
Ga11 Ga 0.8750 0.6250 0.2500
Ga12 Ga 0.8750 0.7500 0.6250
Sn1 Sn 0.0664 0.6355 0.4020
Sn2 Sn 0.0664 0.9309 0.6644
Sn3 Sn 0.0691 0.2335 0.1355
Sn4 Sn 0.0691 0.3356 0.9336
Sn5 Sn 0.0980 0.7335 0.6644
Sn6 Sn 0.0980 0.8645 0.4336
Sn7 Sn 0.1355 0.0691 0.2335
Sn8 Sn 0.1355 0.5664 0.9020
Sn9 Sn 0.1644 0.2335 0.5980
Sn10 Sn 0.1644 0.4309 0.5664
Sn11 Sn 0.2335 0.1355 0.0691
Sn12 Sn 0.2335 0.5980 0.1644
Sn13 Sn 0.2665 0.3356 0.9020
Sn14 Sn 0.2665 0.4309 0.3645
Sn15 Sn 0.3356 0.9020 0.2665
Sn16 Sn 0.3356 0.9336 0.0691
Sn17 Sn 0.3645 0.2665 0.4309
Sn18 Sn 0.3645 0.5980 0.9336
Sn19 Sn 0.4020 0.0664 0.6355
Sn20 Sn 0.4020 0.8356 0.7665
Sn21 Sn 0.4309 0.3645 0.2665
Sn22 Sn 0.4309 0.5664 0.1644
Sn23 Sn 0.4336 0.0980 0.8645
Sn24 Sn 0.4336 0.8356 0.5691
Sn25 Sn 0.5664 0.1644 0.4309
Sn26 Sn 0.5664 0.9020 0.1355
Sn27 Sn 0.5691 0.4336 0.8356
Sn28 Sn 0.5691 0.6355 0.7335
Sn29 Sn 0.5980 0.1644 0.2335
Sn30 Sn 0.5980 0.9336 0.3645
Sn31 Sn 0.6355 0.4020 0.0664
Sn32 Sn 0.6355 0.7335 0.5691
Sn33 Sn 0.6644 0.0664 0.9309
Sn34 Sn 0.6644 0.0980 0.7335
Sn35 Sn 0.7335 0.5691 0.6355
Sn36 Sn 0.7335 0.6644 0.0980
Sn37 Sn 0.7665 0.4020 0.8356
Sn38 Sn 0.7665 0.8645 0.9309
Sn39 Sn 0.8356 0.5691 0.4336
Sn40 Sn 0.8356 0.7665 0.4020
Sn41 Sn 0.8645 0.4336 0.0980
Sn42 Sn 0.8645 0.9309 0.7665
Sn43 Sn 0.9020 0.1355 0.5664
Sn44 Sn 0.9020 0.2665 0.3356
Sn45 Sn 0.9309 0.6644 0.0664
Sn46 Sn 0.9309 0.7665 0.8645
Sn47 Sn 0.9336 0.0691 0.3356
Sn48 Sn 0.9336 0.3645 0.5980
Hg1 Hg 0.0000 0.0000 0.0000
Hg2 Hg 0.0000 0.0000 0.5000
Hg3 Hg 0.0000 0.5000 0.0000
Hg4 Hg 0.0000 0.5000 0.5000
Hg5 Hg 0.1250 0.7500 0.8750
Hg6 Hg 0.1250 0.8750 0.2500
Hg7 Hg 0.2500 0.1250 0.8750
Hg8 Hg 0.2500 0.6250 0.3750
Hg9 Hg 0.3750 0.2500 0.6250
Hg10 Hg 0.3750 0.6250 0.7500
Hg11 Hg 0.5000 0.0000 0.0000
Hg12 Hg 0.5000 0.0000 0.5000
Hg13 Hg 0.5000 0.5000 0.0000
Hg14 Hg 0.5000 0.5000 0.5000
Hg15 Hg 0.6250 0.3750 0.2500
Hg16 Hg 0.6250 0.7500 0.3750
Hg17 Hg 0.7500 0.3750 0.6250
Hg18 Hg 0.7500 0.8750 0.1250
Hg19 Hg 0.8750 0.1250 0.7500
Hg20 Hg 0.8750 0.2500 0.1250
```

- magnetic moment (μB per cell) = 0.0
- E_form (kJ/mol of formula units) = 292.9
- SG = Ia-3d (230)
- crystal system = cubic

=====

Below is crystalline CeDy2Ho6Tm3 at its relaxed geometry, with properties calculated at the GGA-PBE level.

```
data_CeDy2Ho6Tm3
_cell_length_a 6.0948
_cell_length_b 6.0948
_cell_length_c 11.6629
_cell_angle_alpha 95.00
_cell_angle_beta 95.00
_cell_angle_gamma 119.97
_space_group_name_H-M_alt 'P 1'
_space_group_IT_number 1
_space_group_name_Hall 'P 1'
loop_
_atom_site_label
_atom_site_type_symbol
_atom_site_fract_x
_atom_site_fract_y
_atom_site_fract_z
Ce1 Ce 0.0000 0.0000 0.0000
Dy1 Dy 0.3334 0.6666 0.0000
Dy2 Dy 0.6666 0.3334 0.0000
Ho1 Ho 0.0841 0.4154 0.2512
Ho2 Ho 0.2473 0.2473 0.7485
Ho3 Ho 0.4154 0.0841 0.2512
Ho4 Ho 0.5846 0.9159 0.7488
Ho5 Ho 0.7527 0.7527 0.2515
Ho6 Ho 0.9159 0.5846 0.7488
Tm1 Tm 0.1673 0.8327 0.5000
Tm2 Tm 0.5000 0.5000 0.5000
Tm3 Tm 0.8327 0.1673 0.5000
```

- magnetic moment (μB per cell) = 1.1
- E_form (kJ/mol of formula units) = 44.9
- SG = C2/m (12)
- crystal system = monoclinic

=====

Below is crystalline KLa2Ni at its relaxed geometry, with properties calculated at the GGA-PBE level.

```
data_KLa2Ni
_cell_length_a 3.7694
_cell_length_b 3.7694
_cell_length_c 9.8779
_cell_angle_alpha 90.00
_cell_angle_beta 90.00
_cell_angle_gamma 90.00
_space_group_name_H-M_alt 'P 1'
_space_group_IT_number 1
_space_group_name_Hall 'P 1'
loop_
_atom_site_label
_atom_site_type_symbol
_atom_site_fract_x
_atom_site_fract_y
_atom_site_fract_z
K1 K 0.0000 0.0000 0.0000
La1 La 0.0000 0.0000 0.6279
La2 La 0.5000 0.5000 0.3710
Ni1 Ni 0.5000 0.5000 0.7196
```

- magnetic moment (μB per cell) = 0.0
- excess energy over the best structure of this formula in the dataset (kJ per mole of atoms) = 18.22
- E_form (kJ/mol of formula units) = 50.2
- SG = P4mm (99)
- crystal system = tetragonal

=====

Below is crystalline YTaIr at its relaxed geometry, with properties calculated at the GGA-PBE level.

```
data_YTaIr
_cell_length_a 4.6269
_cell_length_b 4.6269
_cell_length_c 3.2327
_cell_angle_alpha 90.00
_cell_angle_beta 90.00
_cell_angle_gamma 120.00
_space_group_name_H-M_alt 'P 1'
_space_group_IT_number 1
_space_group_name_Hall 'P 1'
loop_
_atom_site_label
_atom_site_type_symbol
_atom_site_fract_x
_atom_site_fract_y
_atom_site_fract_z
Y1 Y 0.0000 0.0000 0.0000
Ta1 Ta 0.6667 0.3333 0.5665
Ir1 Ir 0.3333 0.6667 0.4101
```

- magnetic moment (μB per cell) = 0.0
- excess energy over the best structure of this formula in the dataset (kJ per mole of atoms) = 46.93
- E_form (kJ/mol of formula units) = -26.4
- SG = P3m1 (156)
- crystal system = trigonal

=====

no.,final energy (eV/atom)
1,-4.260
2,-1.862
3,-3.925
4,-2.453
5,-2.779
6,-4.629
7,-4.053
8,-9.150